Entry 1:
A plane-wave DFT calculation with PBE-GGA was carried out for a relaxed structure of Li2LaMgIn4.

The structure belongs to space group R-3m (No. 166, hexagonal axes); the cell edges are 4.8383, 4.8383 and 28.6948 Å and the angles 90.00°, 90.00° and 120.00°. The asymmetric unit holds Li at (0.0000, 0.0000, 0.2346), La at (0.0000, 0.0000, 0.0000), Mg at (0.0000, 0.0000, 0.5000), In at (0.0000, 0.0000, 0.1218) and In at (0.0000, 0.0000, 0.3959).

For the density of states at the Fermi level, the calculation gives 3.6 states/eV/f.u. The value obtained for the total moment is 0.0 μB/f.u.

---

Entry 2:
A plane-wave DFT calculation with PBE-GGA was carried out for a relaxed structure of LiLaMgIn2.

The structure belongs to space group I-4m2 (No. 119); the cell edges are 4.5331, 4.5331 and 12.7424 Å and the angles 90.00°, 90.00° and 90.00°. The asymmetric unit holds Li at (0.0000, 0.0000, 0.0000), La at (0.0000, 0.5000, 0.2500), Mg at (0.0000, 0.0000, 0.5000) and In at (0.0000, 0.5000, 0.6398).

For the density of states at the Fermi level, the calculation gives 2.9 states/eV/f.u. The value obtained for the total moment is 0.0 μB/f.u.

---

Entry 3:
A plane-wave DFT calculation with PBE-GGA was carried out for a relaxed structure of LiLaMg2In2.

The structure belongs to space group I4/mmm (No. 139); the cell edges are 4.3016, 4.3016 and 18.0740 Å and the angles 90.00°, 90.00° and 90.00°. The asymmetric unit holds Li at (0.0000, 0.0000, 0.0000), La at (0.0000, 0.0000, 0.5000), Mg at (0.0000, 0.5000, 0.2500) and In at (0.0000, 0.0000, 0.1350).

For the density of states at the Fermi level, the calculation gives 4.5 states/eV/f.u. The value obtained for the total moment is 0.0 μB/f.u.

---

Entry 4:
A plane-wave DFT calculation with PBE-GGA was carried out for a relaxed structure of LiLaMg2In4.

The structure belongs to space group R-3m (No. 166, hexagonal axes); the cell edges are 5.0015, 5.0015 and 27.2428 Å and the angles 90.00°, 90.00° and 120.00°. The asymmetric unit holds Li at (0.0000, 0.0000, 0.0000), La at (0.0000, 0.0000, 0.5000), Mg at (0.0000, 0.0000, 0.2530), In at (0.0000, 0.0000, 0.1079) and In at (0.0000, 0.0000, 0.3692).

For the density of states at the Fermi level, the calculation gives 2.4 states/eV/f.u. The value obtained for the total moment is 0.0 μB/f.u.

---

Entry 5:
A plane-wave DFT calculation with PBE-GGA was carried out for a relaxed structure of Li2LaMg8In.

The structure belongs to space group C2/m (No. 12); the cell edges are 8.7010, 5.9342 and 11.8541 Å and the angles 90.00°, 96.98° and 90.00°. The asymmetric unit holds Li at (0.1786, 0.0000, 0.3388), La at (0.0000, 0.5000, 0.5000), Mg at (0.0657, 0.2546, 0.7912), Mg at (0.1635, 0.0000, 0.5924), Mg at (0.1661, 0.0000, 0.0450) and In at (0.0000, 0.5000, 0.0000).

For the density of states at the Fermi level, the calculation gives 6.2 states/eV/f.u. The value obtained for the total moment is 0.0 μB/f.u.

---

Entry 6:
A plane-wave DFT calculation with PBE-GGA was carried out for a relaxed structure of NaLi2La2In5.

The structure belongs to space group P4/mbm (No. 127); the cell edges are 10.3941, 10.3941 and 4.5907 Å and the angles 90.00°, 90.00° and 90.00°. The asymmetric unit holds Na at (0.0000, 0.0000, 0.0000), Li at (0.1116, 0.3884, 0.0000), La at (0.1816, 0.6816, 0.0000), In at (0.0000, 0.5000, 0.5000) and In at (0.0636, 0.2102, 0.5000).

For the density of states at the Fermi level, the calculation gives 6.2 states/eV/f.u. The value obtained for the total moment is 0.0 μB/f.u.

---

Entry 7:
A plane-wave DFT calculation with PBE-GGA was carried out for a relaxed structure of Li2LaNbIn.

The structure belongs to space group P4/mmm (No. 123); the cell edges are 4.6480, 4.6480 and 5.7591 Å and the angles 90.00°, 90.00° and 90.00°. The asymmetric unit holds Li at (0.0000, 0.5000, 0.0000), La at (0.0000, 0.0000, 0.0000), Nb at (0.5000, 0.5000, 0.5000) and In at (0.0000, 0.0000, 0.5000).

For the density of states at the Fermi level, the calculation gives 4.8 states/eV/f.u. The value obtained for the total moment is 0.3 μB/f.u.

---

Entry 8:
A plane-wave DFT calculation with PBE-GGA was carried out for a relaxed structure of LiLaNd2In4.

The structure belongs to space group R-3m (No. 166, hexagonal axes); the cell edges are 5.3538, 5.3538 and 27.2717 Å and the angles 90.00°, 90.00° and 120.00°. The asymmetric unit holds Li at (0.0000, 0.0000, 0.0000), La at (0.0000, 0.0000, 0.5000), Nd at (0.0000, 0.0000, 0.2561), In at (0.0000, 0.0000, 0.1222) and In at (0.0000, 0.0000, 0.3730).

For the density of states at the Fermi level, the calculation gives 4.7 states/eV/f.u. The value obtained for the total moment is 0.0 μB/f.u.

---

Number 1: ΔH_f (0 K) -2.4 eV per formula unit. Number 2: ΔH_f (0 K) -1.7 eV per formula unit. Number 3: ΔH_f (0 K) 0.5 eV per formula unit. Number 4: ΔH_f (0 K) -2.3 eV per formula unit. Number 5: ΔH_f (0 K) 0.4 eV per formula unit. Number 6: ΔH_f (0 K) -3.7 eV per formula unit. Number 7: ΔH_f (0 K) 7.7 eV per formula unit. Number 8: ΔH_f (0 K) -3.4 eV per formula unit.